Tl2ReTc | PBE | optimized geometry

Values from the calculation:
ΔE_f	1.1927	eV/atom
total moment	0.0	μB/f.u.

Lattice parameters (Å, degrees): 6.7325 6.7325 6.7325 90.00 90.00 90.00
Last column: nearest neighbours and their distance in Å.
Space group F-43m (No. 216)
Inequivalent atoms, fractional coordinates:
Tl: 0.0000 0.0000 0.0000  4 Tl 2.92, 4 Tc 2.92
Tl: 0.2500 0.2500 0.2500  4 Tl 2.92, 4 Re 2.92
Re: 0.0000 0.0000 0.5000  4 Tc 2.92, 4 Tl 2.92
Tc: 0.2500 0.2500 0.7500  4 Tl 2.92, 4 Re 2.92